VASP calculation (GGA-PBE) on crystalline NdAlAs2O8 at its relaxed geometry.

abc: 5.3235 5.3235 6.6295
angles: 90.00 90.00 120.00
With the nearest neighbours (Å) after each atom.
Space group P-3m1 (No. 164)
Symmetry-distinct sites (fractional):
Nd (0.0000, 0.0000, 0.0000) [1 per cell]  6 O 2.53
Al (0.0000, 0.0000, 0.5000) [1 per cell]  6 O 1.89
As (0.3333, 0.6667, 0.2404) [2 per cell]  4 O 1.70-1.71
O (0.1558, 0.3116, 0.3141) [6 per cell]  1 As 1.71, 1 Al 1.89
O (0.3333, 0.6667, 0.9845) [2 per cell]  1 As 1.70

Summary:
* ΔE_f (raw): -2.04 eV per atom
* V: 13.559 Å³/atom